Computed, not measured: a geometry-optimized ScNi2Te structure at the PBE level of DFT.

Values from the calculation:
Theoretical density in Mg/m³: 7.6
Crystal system: tetragonal
Magnetic moment in μB per cell: 0.0
VASP energy in hartree per atom: -0.206

Cell lengths 4.6799, 4.6799, 4.6799 Å; angles 126.89, 126.93, 78.40 degrees
Atoms (fractional coordinates):
Ni 0.9998 0.9998 0.0000
Ni 0.5002 0.5002 0.0000
Sc 0.2500 0.7500 0.5000
Te 0.7500 0.2500 0.5000